Computed, not measured: crystalline Ca2Pm5Y2 at its relaxed geometry at the PBE-GGA level of DFT.

Structure (POSCAR):
```
Ca2Pm5Y2
1.0
6.7471 -1.8898 0.0000
6.7471 1.8898 0.0000
-4.0041 0.0000 12.5679
Ca Pm Y
2 5 2
direct
0.0365 0.0365 0.2153
0.9635 0.9635 0.7847
0.2619 0.2619 0.6058
0.3539 0.3539 0.9739
0.5000 0.5000 0.5000
0.6461 0.6461 0.0261
0.7381 0.7381 0.3942
0.3215 0.3215 0.2259
0.6785 0.6785 0.7741
```

Results
For the energy of formation from the pure elements, the calculation gives 133 meV/atom. The symmetry is C2/m, No. 12. The density of states at the Fermi level comes out at 13.71 states/eV/cell. As for the total moment: 0.0 Bohr magnetons per cell.